# Y4Ru3Au, optimized geometry, DFT GGA-PBE
# Fermi-level density of states = 0.725 states/eV/atom
# Energy of formation = -0.45 eV per atom
# Raw total energy = -7.57 eV/atom
# Volume = 165.4 Å³/f.u.
# M_tot = 0.00 μB per formula unit
# ρ = 8591 kg/m3
data_Y4Ru3Au
_chemical_formula_sum 'Y4 Ru3 Au1'
_cell_length_a 4.879
_cell_length_b 4.879
_cell_length_c 6.950
_cell_angle_alpha 90.00
_cell_angle_beta 90.00
_cell_angle_gamma 90.00
_space_group_name_H-M_alt 'P 4/m m m'
_space_group_IT_number 123
_space_group_name_Hall '-P 4 2'
loop_
_atom_site_label
_atom_site_fract_x
_atom_site_fract_y
_atom_site_fract_z
Y1 0.000 0.500 0.241
Ru1 0.000 0.000 0.000
Ru2 0.000 0.000 0.500
Ru3 0.500 0.500 0.000
Au1 0.500 0.500 0.500